[1]
Entry from the Alexandria database: an optimized crystal structure of MnFe2Sn2 (PBE).

Computed properties:
The density of states at the Fermi level is 9.0 states/eV per cell. For the polymorph energy (0 for the lowest one), the calculation gives 0.00 eV per formula unit. The value obtained for the total magnetization is 5.52 μB per cell. As for the energy: -6.558 eV per atom.

abc: 6.3837 6.3837 3.8766
angles: 90.00 90.00 90.00
Space group P4/mbm (No. 127)
One atom of each set of equivalent atoms:
Mn1 0.0000 0.0000 0.0000 [2 per cell]
Fe1 0.1287 0.3713 0.0000 [4 per cell]
Sn1 0.1740 0.6740 0.5000 [4 per cell]


[2]
Entry from the Alexandria database: an optimized crystal structure of MnFeSn2 (PBE).

Computed properties:
The density of states at the Fermi level is 22.6 states/eV per cell. For the polymorph energy (0 for the lowest one), the calculation gives 0.18 eV per formula unit. The value obtained for the total magnetization is 2.22 μB per cell. As for the energy: -6.035 eV per atom.

abc: 6.2984 6.2984 6.2984
angles: 90.00 90.00 90.00
Space group Fm-3m (No. 225)
One atom of each set of equivalent atoms:
Mn1 0.0000 0.0000 0.0000 [4 per cell]
Fe1 0.0000 0.0000 0.5000 [4 per cell]
Sn1 0.2500 0.2500 0.2500 [8 per cell]


[3]
Entry from the Alexandria database: an optimized crystal structure of MnFeSn2 (PBE).

Computed properties:
The density of states at the Fermi level is 14.3 states/eV per cell. For the polymorph energy (0 for the lowest one), the calculation gives 0.00 eV per formula unit. The value obtained for the total magnetization is 16.57 μB per cell. As for the energy: -6.079 eV per atom.

abc: 3.1808 3.1808 25.1536
angles: 90.00 90.00 120.00
Space group R-3m (No. 166, hexagonal axes)
One atom of each set of equivalent atoms:
Mn1 0.0000 0.0000 0.0000 [3 per cell]
Fe1 0.0000 0.0000 0.5000 [3 per cell]
Sn1 0.0000 0.0000 0.2457 [6 per cell]


[4]
Entry from the Alexandria database: an optimized crystal structure of MnFeSn (PBE).

Computed properties:
The density of states at the Fermi level is 12.9 states/eV per cell. The value obtained for the total magnetization is 0.00 μB per cell. As for the energy: -6.836 eV per atom.

abc: 3.7886 3.7886 24.6767
angles: 90.00 90.00 120.00
Space group R-3m (No. 166, hexagonal axes)
One atom of each set of equivalent atoms:
Mn1 0.0000 0.0000 0.2021 [6 per cell]
Fe1 0.0000 0.0000 0.1150 [6 per cell]
Sn1 0.0000 0.0000 0.3847 [6 per cell]


[5]
Entry from the Alexandria database: an optimized crystal structure of Mn2FeSn (PBE).

Computed properties:
The density of states at the Fermi level is 2.7 states/eV per cell. The value obtained for the total magnetization is 8.03 μB per cell. As for the energy: -7.575 eV per atom.

abc: 3.9862 3.9862 3.6511
angles: 90.00 90.00 90.00
Space group P4/mmm (No. 123)
One atom of each set of equivalent atoms:
Mn1 0.0000 0.5000 0.0000 [2 per cell]
Fe1 0.0000 0.0000 0.5000 [1 per cell]
Sn1 0.5000 0.5000 0.5000 [1 per cell]


[6]
Entry from the Alexandria database: an optimized crystal structure of MnFeSn (PBE).

Computed properties:
The density of states at the Fermi level is 6.2 states/eV per cell. The value obtained for the total magnetization is 13.05 μB per cell. As for the energy: -6.370 eV per atom.

abc: 2.8347 2.8347 14.4033
angles: 90.00 90.00 90.00
Space group I4mm (No. 107)
One atom of each set of equivalent atoms:
Mn1 0.0000 0.0000 0.0000 [2 per cell]
Fe1 0.0000 0.0000 0.8317 [2 per cell]
Sn1 0.0000 0.0000 0.1920 [2 per cell]


[7]
Entry from the Alexandria database: an optimized crystal structure of Mn2Fe2Sn (PBE).

Computed properties:
The density of states at the Fermi level is 13.7 states/eV per cell. For the polymorph energy (0 for the lowest one), the calculation gives 0.00 eV per formula unit. The value obtained for the total magnetization is 7.27 μB per cell. As for the energy: -7.557 eV per atom.

abc: 6.9482 6.9482 2.8471
angles: 90.00 90.00 90.00
Space group P4/mbm (No. 127)
One atom of each set of equivalent atoms:
Mn1 0.1643 0.3357 0.0000 [4 per cell]
Fe1 0.1231 0.6231 0.5000 [4 per cell]
Sn1 0.0000 0.0000 0.5000 [2 per cell]


[8]
Entry from the Alexandria database: an optimized crystal structure of MnFe3Sn (PBE).

Computed properties:
The density of states at the Fermi level is 12.4 states/eV per cell. For the polymorph energy (0 for the lowest one), the calculation gives 6.72 eV per formula unit. The value obtained for the total magnetization is 0.53 μB per cell. As for the energy: -5.306 eV per atom.

abc: 4.5499 4.5499 4.5499
angles: 90.00 90.00 90.00
Space group Pm-3m (No. 221)
One atom of each set of equivalent atoms:
Mn1 0.0000 0.0000 0.0000 [1 per cell]
Fe1 0.0000 0.5000 0.5000 [3 per cell]
Sn1 0.5000 0.5000 0.5000 [1 per cell]


no.,energy of formation from the pure elements (eV/atom)
1,0.262
2,0.374
3,0.330
4,0.375
5,0.126
6,0.841
7,0.296
8,2.407